# KRbVF6

A geometry-optimized KRbVF6 structure (PBE+U, Alexandria via LeMat-Bulk).

POSCAR file:
```
KRbVF6
1.0
5.9414 -0.0102 0.0087
2.9618 5.1072 -0.0035
0.0033 -0.0070 4.8072
K Rb V F
1 1 1 6
Cartesian
5.9514 3.3808 3.5522
5.9245 0.0062 0.7004
2.9695 1.6955 2.1387
1.5771 2.5124 1.1201
1.6317 0.8867 3.1846
4.3507 0.8807 3.1694
3.0051 3.2353 3.2008
4.3162 2.5080 1.1027
2.9371 0.1477 1.0837
```

Results
- V (Å³/atom) = 16.2
- energy (eV per atom) = -5.18